[1]
A plane-wave DFT calculation with PBE was carried out for a relaxed structure of KNdHf4O12.

The total energy comes out at -8.582 eV per atom.

The space group is Amm2 (No. 38) and the conventional cell measures 8.212, 8.172 and 8.204 Å, with angles of 90.00, 90.00 and 90.00 degrees. Symmetry generates all atoms from K at (0.000, 0.000, 0.000), Nd at (0.500, 0.000, 0.516), Hf at (0.246, 0.246, 0.259), O at (0.000, 0.231, 0.254), O at (0.238, 0.000, 0.764), O at (0.281, 0.236, 0.509), O at (0.305, 0.000, 0.275) and O at (0.500, 0.199, 0.740).

[2]
A plane-wave DFT calculation with PBE was carried out for a relaxed structure of Pm2Bi2I.

The total energy comes out at -4.578 eV per atom.

The space group is P2_1/m (No. 11) and the conventional cell measures 6.395, 4.577 and 12.127 Å, with angles of 90.00, 90.99 and 90.00 degrees. Symmetry generates all atoms from Pm at (0.059, 0.250, 0.188), Pm at (0.281, 0.250, 0.545), Bi at (0.185, 0.750, 0.365), Bi at (0.434, 0.750, 0.723) and I at (0.248, 0.750, 0.030).

[3]
A plane-wave DFT calculation with PBE was carried out for a relaxed structure of TbTlCo.

As for the formation energy: -0.23 eV per atom.

The space group is R3m (No. 160, hexagonal axes) and the conventional cell measures 3.8787, 3.8787 and 33.2327 Å, with angles of 90.00, 90.00 and 120.00 degrees. Symmetry generates all atoms from Tb at (0.0000, 0.0000, 0.0000), Tb at (0.0000, 0.0000, 0.1098), Tl at (0.0000, 0.0000, 0.2566), Tl at (0.0000, 0.0000, 0.5198), Co at (0.0000, 0.0000, 0.3883) and Co at (0.0000, 0.0000, 0.7215).

[4]
A plane-wave DFT calculation with PBE was carried out for a relaxed structure of Na2Sb3Pd2.

The total energy comes out at -3.996 eV per atom.

The space group is C2/m (No. 12) and the conventional cell measures 11.037, 4.395 and 7.777 Å, with angles of 90.00, 117.03 and 90.00 degrees. Symmetry generates all atoms from Na at (0.163, 0.000, 0.307), Sb at (0.000, 0.500, 0.500), Sb at (0.122, 0.500, 0.957) and Pd at (0.121, 0.000, 0.737).

[5]
A plane-wave DFT calculation with PBE was carried out for a relaxed structure of NiTeOs2.

The total energy comes out at -7.229 eV per atom.

The space group is Cm (No. 8) and the conventional cell measures 8.707, 2.984 and 4.915 Å, with angles of 90.00, 99.51 and 90.00 degrees. Symmetry generates all atoms from Ni at (0.000, 0.000, 0.000), Te at (0.255, 0.500, 0.233), Os at (0.011, 0.500, 0.560) and Os at (0.255, 0.000, 0.769).

[6]
A plane-wave DFT calculation with PBE was carried out for a relaxed structure of YPSe2.

The total energy comes out at -5.476 eV per atom.

The space group is P2/m (No. 10) and the conventional cell measures 3.945, 3.647 and 6.192 Å, with angles of 90.00, 104.34 and 90.00 degrees. Symmetry generates all atoms from Y at (0.000, 0.000, 0.000), P at (0.000, 0.000, 0.500) and Se at (0.365, 0.500, 0.744).

[7]
A plane-wave DFT calculation with PBE was carried out for a relaxed structure of Nd2Zn5PdRh2.

As for the formation energy: -0.45 eV per atom.

The space group is P4/mbm (No. 127) and the conventional cell measures 9.914, 9.914 and 3.718 Å, with angles of 90.00, 90.00 and 90.00 degrees. Symmetry generates all atoms from Nd at (0.180, 0.320, 0.000), Zn at (0.000, 0.500, 0.500), Zn at (0.053, 0.808, 0.500), Pd at (0.000, 0.000, 0.000) and Rh at (0.124, 0.624, 0.000).

[8]
A plane-wave DFT calculation with PBE was carried out for a relaxed structure of Tm2TaAl.

As for the formation energy: 0.44 eV per atom.

The space group is R-3m (No. 166, hexagonal axes) and the conventional cell measures 3.1333, 3.1333 and 32.9307 Å, with angles of 90.00, 90.00 and 120.00 degrees. Symmetry generates all atoms from Tm at (0.0000, 0.0000, 0.0915), Ta at (0.0000, 0.0000, 0.0000) and Al at (0.0000, 0.0000, 0.5000).

Which size of the total moment belongs to each record? In order, 4.0; 0.0; 0.3; 0.0; 0.0; 0.0; 0.0; 0.0 μB per formula unit.